(1)
An optimized crystal structure of La2NdTh, computed with PBE.

Its space group is No. 123. The value obtained for the density is 7.78 g/cm³. Its calculated formation energy is 2.62 kJ per mole of atoms.

```
La2NdTh
1.0
3.631 0.000 0.000
0.000 3.631 0.000
0.000 0.000 10.594
Nd Th La
1 1 2
Direct
0.500 0.500 0.500
0.500 0.500 0.000
0.000 0.000 0.766
0.000 0.000 0.234
```

(2)
An optimized crystal structure of CaAcNdDy, computed with PBE.

Its space group is No. 216. The value obtained for the density is 6.29 g/cm³. Its calculated formation energy is 10.30 kJ per mole of atoms.

```
CaAcNdDy
1.0
-3.594 1.068 4.662
-0.855 -4.225 4.148
2.320 0.668 5.473
Ac Nd Ca Dy
1 1 1 1
Direct
0.750 0.750 0.750
0.250 0.250 0.250
0.500 0.500 0.500
0.000 0.000 0.000
```

(3)
An optimized crystal structure of SiTc2Ni, computed with PBE.

Its space group is No. 12. The value obtained for the density is 8.80 g/cm³. The formation energy (no corrections) comes out at -6.2 kJ/mol of atoms.

```
SiTc2Ni
1.0
-2.850 -3.475 -0.903
-0.607 -3.789 -2.509
1.439 -3.408 2.676
Ni Si Tc
1 1 2
Direct
0.750 0.750 0.750
0.250 0.250 0.250
0.991 0.991 0.998
0.509 0.509 0.502
```

(4)
An optimized crystal structure of LaScIr2, computed with PBE.

Its space group is No. 119. The value obtained for the density is 11.74 g/cm³. Its calculated formation energy is -42.52 kJ per mole of atoms.

```
LaScIr2
1.0
5.705 0.023 0.000
2.833 4.952 0.000
-4.269 -2.487 2.853
Ir La Sc
2 1 1
Direct
0.000 0.000 0.000
0.250 0.750 0.500
0.500 0.500 0.000
0.750 0.250 0.500
```

(5)
An optimized crystal structure of Cd7PtAu2, computed with PBE.

Its space group is No. 156. The value obtained for the density is 10.34 g/cm³. Its calculated formation energy is -17.02 kJ per mole of atoms.

```
Cd7PtAu2
1.0
-1.223 2.748 -3.605
-2.144 -4.128 0.639
-7.957 5.159 6.633
Cd Pt Au
7 1 2
Direct
0.667 0.333 0.592
0.667 0.333 0.860
0.000 0.000 0.753
0.000 0.000 0.252
0.333 0.667 0.432
0.333 0.667 0.978
0.667 0.333 0.112
0.000 0.000 0.004
0.333 0.667 0.684
0.667 0.333 0.351
```

(6)
An optimized crystal structure of LiGeAu4, computed with PBE.

Its space group is No. 12. The value obtained for the density is 13.86 g/cm³. Its calculated formation energy is -19.05 kJ per mole of atoms.

```
LiGeAu4
1.0
3.585 0.000 1.037
2.052 4.755 -0.381
0.063 -1.865 6.499
Li Ge Au
1 1 4
Direct
0.000 0.000 0.000
0.500 0.500 0.500
0.825 0.513 0.837
0.333 0.013 0.321
0.175 0.487 0.163
0.667 0.987 0.679
```